Entry 1:
# MgSnHO, optimized geometry, DFT PBE-GGA
# E = -4.4872 eV/atom
# theoretical density = 4.514 g/cm3
# Fermi-level density of states = 0.3 states/eV/cell
data_MgSnHO
_cell_length_a 3.1460
_cell_length_b 3.1953
_cell_length_c 6.9108
_cell_angle_alpha 76.73
_cell_angle_beta 76.87
_cell_angle_gamma 61.52
_space_group_name_H-M_alt 'P 1'
_space_group_IT_number 1
loop_
_space_group_symop_operation_xyz
'x,y,z'
loop_
_atom_site_label
_atom_site_fract_x
_atom_site_fract_y
_atom_site_fract_z
Mg1 0.0000 0.0000 0.0000
Sn1 0.4842 0.4953 0.5471
H1 0.6060 0.6249 0.1755
O1 0.3775 0.3854 0.8684


Entry 2:
# Mn2Re2Os, optimized geometry, DFT PBE-GGA
# E = -10.5482 eV/atom
# theoretical density = 16.282 g/cm3
# Fermi-level density of states = 11.6 states/eV/cell
data_Mn2Re2Os
_cell_length_a 7.1322
_cell_length_b 7.1322
_cell_length_c 2.6967
_cell_angle_alpha 90.00
_cell_angle_beta 90.00
_cell_angle_gamma 90.00
_space_group_name_H-M_alt 'P 1'
_space_group_IT_number 1
loop_
_space_group_symop_operation_xyz
'x,y,z'
loop_
_atom_site_label
_atom_site_fract_x
_atom_site_fract_y
_atom_site_fract_z
Mn1 0.1709 0.3291 0.0000
Mn2 0.3291 0.8291 0.0000
Mn3 0.6709 0.1709 0.0000
Mn4 0.8291 0.6709 0.0000
Re1 0.1277 0.6277 0.5000
Re2 0.3723 0.1277 0.5000
Re3 0.6277 0.8723 0.5000
Re4 0.8723 0.3723 0.5000
Os1 0.0000 0.0000 0.5000
Os2 0.5000 0.5000 0.5000